## PmGe4Pd8 (GGA-PBE)

Data for PmGe4Pd8 after structural relaxation.

Computed properties:
Energy of formation in eV per atom: -0.52
VASP energy in eV per cell: -71.47
Crystal system: tetragonal
Spin magnetization in μB per cell: 0.0
Mass density in g cm⁻³: 9.92

Geometry as POSCAR:
```
PmGe4Pd8
1.0
-0.7158 5.2071 -1.4322
-3.4929 3.6440 4.6336
5.0291 4.1307 2.1437
Ge Pm Pd
4 1 8
Direct
0.0000 0.5000 0.0000 Ge
0.5000 0.5000 0.0000 Ge
0.0000 0.0000 0.5000 Ge
0.5000 0.0000 0.5000 Ge
0.0000 0.0000 0.0000 Pm
0.0000 0.6660 0.3340 Pd
0.0000 0.3340 0.6660 Pd
0.2763 0.2237 0.2237 Pd
0.3340 0.6660 0.6660 Pd
0.6660 0.3340 0.3340 Pd
0.5000 0.2237 0.7763 Pd
0.5000 0.7763 0.2237 Pd
0.7237 0.7763 0.7763 Pd
```